VASP calculation (GGA+U) on a geometry-optimized Ni3Hg3IrO8 structure.

POSCAR file:
```
Ni3Hg3IrO8
1.0
-6.229 -0.089 -0.409
3.385 -4.353 -2.956
-0.590 1.526 8.644
Ni Hg Ir O
3 3 1 8
direct
0.500 0.000 0.500
0.500 0.500 0.500
0.000 0.500 0.500
0.000 0.000 0.000
0.000 0.500 0.000
0.500 0.500 0.000
0.000 0.000 0.500
0.232 0.465 0.331
0.768 0.535 0.669
0.748 0.497 0.339
0.252 0.503 0.661
0.735 0.961 0.332
0.265 0.039 0.668
0.226 0.961 0.332
0.774 0.039 0.668
```

Summary:
DOS(E_F): 3.9 states/eV/cell
DFT total energy: -4.450 eV per atom
Size of the total moment: 5.0 μB/f.u.